# 1
# Ca2TlHg (GGA-PBE, optimized geometry)
data_Ca2TlHg
_chemical_formula_sum 'Ca4 Tl2 Hg2'
_cell_length_a 3.680
_cell_length_b 6.439
_cell_length_c 12.726
_cell_angle_alpha 90.00
_cell_angle_beta 90.00
_cell_angle_gamma 90.00
_space_group_name_H-M_alt 'I m m m'
_space_group_IT_number 71
_space_group_name_Hall '-I 2 2'
loop_
_atom_site_label
_atom_site_fract_x
_atom_site_fract_y
_atom_site_fract_z
_atom_site_occupancy
Ca1 0.000 0.000 0.240 1
Tl1 0.000 0.000 0.500 1
Hg1 0.000 0.000 0.000 1
# DFT formation energy ... 0.10 eV/atom
# Crystal system ... orthorhombic
# DOS(E_F) ... 0.838 states/eV/atom
# Calculated total energy ... -1.563 eV/atom

# 2
# BaMnIn2 (GGA-PBE, optimized geometry)
data_BaMnIn2
_chemical_formula_sum 'Ba2 Mn2 In4'
_cell_length_a 6.892
_cell_length_b 9.875
_cell_length_c 3.447
_cell_angle_alpha 90.00
_cell_angle_beta 90.21
_cell_angle_gamma 90.00
_space_group_name_H-M_alt 'C 1 2/m 1'
_space_group_IT_number 12
loop_
_space_group_symop_operation_xyz
'x,y,z'
'-x,-y,-z'
'-x,y,-z'
'x,-y,z'
'x+1/2,y+1/2,z'
'-x+1/2,-y+1/2,-z'
'-x+1/2,y+1/2,-z'
'x+1/2,-y+1/2,z'
loop_
_atom_site_label
_atom_site_fract_x
_atom_site_fract_y
_atom_site_fract_z
_atom_site_occupancy
Ba1 0.000 0.000 0.000 1
Mn1 0.000 0.500 0.000 1
In1 0.250 0.250 0.500 1
# DFT formation energy ... 0.28 eV/atom
# Crystal system ... monoclinic
# DOS(E_F) ... 0.634 states/eV/atom
# Calculated total energy ... -3.862 eV/atom

# 3
# YHo2Pd (GGA-PBE, optimized geometry)
data_YHo2Pd
_chemical_formula_sum 'Y1 Ho2 Pd1'
_cell_length_a 3.569
_cell_length_b 3.569
_cell_length_c 8.402
_cell_angle_alpha 90.00
_cell_angle_beta 90.00
_cell_angle_gamma 90.00
_space_group_name_H-M_alt 'P 4/m m m'
_space_group_IT_number 123
_space_group_name_Hall '-P 4 2'
loop_
_atom_site_label
_atom_site_fract_x
_atom_site_fract_y
_atom_site_fract_z
_atom_site_occupancy
Y1 0.000 0.000 0.000 1
Ho1 0.500 0.500 0.302 1
Pd1 0.000 0.000 0.500 1
# DFT formation energy ... -0.42 eV/atom
# Offset from the most stable computed form ... 60 meV/atom
# Crystal system ... tetragonal
# DOS(E_F) ... 1.138 states/eV/atom
# Calculated total energy ... -5.625 eV/atom

# 4
# Cs2RhCl5 (GGA-PBE, optimized geometry)
data_Cs2RhCl5
_chemical_formula_sum 'Cs4 Rh2 Cl10'
_cell_length_a 7.640
_cell_length_b 7.640
_cell_length_c 9.756
_cell_angle_alpha 90.00
_cell_angle_beta 90.00
_cell_angle_gamma 90.00
_space_group_name_H-M_alt 'I 4 m m'
_space_group_IT_number 107
_space_group_name_Hall 'I 4 -2'
loop_
_atom_site_label
_atom_site_fract_x
_atom_site_fract_y
_atom_site_fract_z
_atom_site_occupancy
Cs1 0.000 0.500 0.000 1
Rh1 0.000 0.000 0.266 1
Cl1 0.000 0.000 0.497 1
Cl2 0.217 0.217 0.250 1
# Energy relative to the elements, uncorrected ... -1.276 eV/atom
# Crystal system ... tetragonal
# Calculated total energy ... -3.562 eV/atom

# 5
# La8PmTh2 (GGA-PBE, optimized geometry)
data_La8PmTh2
_chemical_formula_sum 'La16 Pm2 Th4'
_cell_length_a 9.219
_cell_length_b 16.810
_cell_length_c 6.192
_cell_angle_alpha 90.00
_cell_angle_beta 124.69
_cell_angle_gamma 90.00
_space_group_name_H-M_alt 'C 1 2/m 1'
_space_group_IT_number 12
loop_
_space_group_symop_operation_xyz
'x,y,z'
'-x,-y,-z'
'-x,y,-z'
'x,-y,z'
'x+1/2,y+1/2,z'
'-x+1/2,-y+1/2,-z'
'-x+1/2,y+1/2,-z'
'x+1/2,-y+1/2,z'
loop_
_atom_site_label
_atom_site_fract_x
_atom_site_fract_y
_atom_site_fract_z
_atom_site_occupancy
La1 0.000 0.207 0.000 1
La2 0.080 0.500 0.793 1
La3 0.215 0.119 0.683 1
Pm1 0.000 0.000 0.000 1
Th1 0.000 0.308 0.500 1
# DFT formation energy ... 0.17 eV/atom
# Crystal system ... monoclinic
# DOS(E_F) ... 1.641 states/eV/atom
# Calculated total energy ... -5.197 eV/atom

# 6
# B3SbP (GGA-PBE, optimized geometry)
data_B3SbP
_chemical_formula_sum 'B3 Sb1 P1'
_cell_length_a 4.450
_cell_length_b 4.450
_cell_length_c 4.450
_cell_angle_alpha 90.00
_cell_angle_beta 90.00
_cell_angle_gamma 90.00
_space_group_name_H-M_alt 'P m -3 m'
_space_group_IT_number 221
_space_group_name_Hall '-P 4 2 3'
loop_
_atom_site_label
_atom_site_fract_x
_atom_site_fract_y
_atom_site_fract_z
_atom_site_occupancy
B1 0.000 0.000 0.500 1
Sb1 0.000 0.000 0.000 1
P1 0.500 0.500 0.500 1
# Energy relative to the elements, uncorrected ... 2.319 eV/atom
# Offset from the most stable computed form ... 994 meV/atom
# Crystal system ... cubic
# DOS(E_F) ... 0.438 states/eV/atom
# Calculated total energy ... -3.594 eV/atom

# 7
# RbRh5Se8 (GGA-PBE, optimized geometry)
data_RbRh5Se8
_chemical_formula_sum 'Rb2 Rh10 Se16'
_cell_length_a 19.287
_cell_length_b 3.753
_cell_length_c 8.855
_cell_angle_alpha 90.00
_cell_angle_beta 105.46
_cell_angle_gamma 90.00
_space_group_name_H-M_alt 'C 1 m 1'
_space_group_IT_number 8
loop_
_space_group_symop_operation_xyz
'x,y,z'
'x,-y,z'
'x+1/2,y+1/2,z'
'x+1/2,-y+1/2,z'
loop_
_atom_site_label
_atom_site_fract_x
_atom_site_fract_y
_atom_site_fract_z
_atom_site_occupancy
Rb1 0.000 0.000 0.000 1
Rh1 0.000 0.500 0.500 1
Rh2 0.159 0.000 0.473 1
Rh3 0.202 0.000 0.826 1
Rh4 0.298 0.500 0.175 1
Rh5 0.340 0.500 0.528 1
Se1 0.075 0.000 0.640 1
Se2 0.087 0.500 0.330 1
Se3 0.176 0.500 0.988 1
Se4 0.236 0.500 0.651 1
Se5 0.263 0.000 0.349 1
Se6 0.323 0.000 0.013 1
Se7 0.413 0.000 0.670 1
Se8 0.424 0.500 0.360 1
# Energy relative to the elements, uncorrected ... -0.500 eV/atom
# Crystal system ... monoclinic
# DOS(E_F) ... 0.157 states/eV/atom
# Calculated total energy ... -5.186 eV/atom

# 8
# Zn2Fe2Ru (GGA-PBE, optimized geometry)
data_Zn2Fe2Ru
_chemical_formula_sum 'Zn4 Fe4 Ru2'
_cell_length_a 6.700
_cell_length_b 6.700
_cell_length_c 2.959
_cell_angle_alpha 90.00
_cell_angle_beta 90.00
_cell_angle_gamma 90.00
_space_group_name_H-M_alt 'P 4/m b m'
_space_group_IT_number 127
_space_group_name_Hall '-P 4 2ab'
loop_
_atom_site_label
_atom_site_fract_x
_atom_site_fract_y
_atom_site_fract_z
_atom_site_occupancy
Zn1 0.129 0.371 0.000 1
Fe1 0.171 0.671 0.500 1
Ru1 0.000 0.000 0.000 1
# DFT formation energy ... 0.26 eV/atom
# Offset from the most stable computed form ... 0 meV/atom
# Crystal system ... tetragonal
# DOS(E_F) ... 1.047 states/eV/atom
# Calculated total energy ... -5.488 eV/atom

# 9
# GdErMo4 (GGA-PBE, optimized geometry)
data_GdErMo4
_chemical_formula_sum 'Gd4 Er4 Mo16'
_cell_length_a 7.805
_cell_length_b 7.805
_cell_length_c 7.805
_cell_angle_alpha 90.00
_cell_angle_beta 90.00
_cell_angle_gamma 90.00
_space_group_name_H-M_alt 'F -4 3 m'
_space_group_IT_number 216
_space_group_name_Hall 'F -4 2 3'
loop_
_atom_site_label
_atom_site_fract_x
_atom_site_fract_y
_atom_site_fract_z
_atom_site_occupancy
Gd1 0.000 0.000 0.000 1
Er1 0.250 0.250 0.750 1
Mo1 0.125 0.125 0.375 1
# DFT formation energy ... 0.11 eV/atom
# Crystal system ... cubic
# DOS(E_F) ... 1.336 states/eV/atom
# Calculated total energy ... -10.218 eV/atom

# 10
# AlReW (GGA-PBE, optimized geometry)
data_AlReW
_chemical_formula_sum 'Al2 Re2 W2'
_cell_length_a 3.030
_cell_length_b 4.410
_cell_length_c 6.916
_cell_angle_alpha 90.00
_cell_angle_beta 90.00
_cell_angle_gamma 90.00
_space_group_name_H-M_alt 'P m m n'
_space_group_IT_number 59
loop_
_space_group_symop_operation_xyz
'x,y,z'
'-x,-y,-z'
'-x+1/2,-y+1/2,z'
'x+1/2,y+1/2,-z'
'x+1/2,-y,-z'
'-x+1/2,y,z'
'-x,y+1/2,-z'
'x,-y+1/2,z'
loop_
_atom_site_label
_atom_site_fract_x
_atom_site_fract_y
_atom_site_fract_z
_atom_site_occupancy
Al1 0.250 0.250 0.213 1
Re1 0.250 0.750 0.481 1
W1 0.250 0.250 0.839 1
# DFT formation energy ... 0.09 eV/atom
# Offset from the most stable computed form ... 246 meV/atom
# Crystal system ... orthorhombic
# DOS(E_F) ... 0.602 states/eV/atom
# Calculated total energy ... -9.622 eV/atom

# 11
# CaCo2Ir (GGA-PBE, optimized geometry)
data_CaCo2Ir
_chemical_formula_sum 'Ca3 Co6 Ir3'
_cell_length_a 4.1600
_cell_length_b 4.1600
_cell_length_c 14.8115
_cell_angle_alpha 90.00
_cell_angle_beta 90.00
_cell_angle_gamma 120.00
_space_group_name_H-M_alt 'R -3 m'
_space_group_IT_number 166
_space_group_name_Hall '-R 3 2"'
loop_
_atom_site_label
_atom_site_fract_x
_atom_site_fract_y
_atom_site_fract_z
_atom_site_occupancy
Ca1 0.0000 0.0000 0.0000 1
Co1 0.0000 0.0000 0.1881 1
Ir1 0.0000 0.0000 0.5000 1
# DFT formation energy ... -0.03 eV/atom
# Crystal system ... trigonal
# DOS(E_F) ... 0.534 states/eV/atom
# Calculated total energy ... -6.298 eV/atom

# 12
# Dy3HoTl4 (GGA-PBE, optimized geometry)
data_Dy3HoTl4
_chemical_formula_sum 'Dy3 Ho1 Tl4'
_cell_length_a 3.788
_cell_length_b 3.788
_cell_length_c 15.134
_cell_angle_alpha 90.00
_cell_angle_beta 90.00
_cell_angle_gamma 90.00
_space_group_name_H-M_alt 'P 4/m m m'
_space_group_IT_number 123
_space_group_name_Hall '-P 4 2'
loop_
_atom_site_label
_atom_site_fract_x
_atom_site_fract_y
_atom_site_fract_z
_atom_site_occupancy
Dy1 0.000 0.000 0.000 1
Dy2 0.000 0.000 0.251 1
Ho1 0.000 0.000 0.500 1
Tl1 0.500 0.500 0.125 1
Tl2 0.500 0.500 0.376 1
# DFT formation energy ... -0.34 eV/atom
# Offset from the most stable computed form ... 0 meV/atom
# Crystal system ... tetragonal
# DOS(E_F) ... 0.707 states/eV/atom
# Calculated total energy ... -3.821 eV/atom